The following is a DFT calculation (PBE-GGA) of a geometry-optimized Rb2VHgI6 structure.

## Properties
total DFT energy (no corrections)	-2.796	eV/atom
energy relative to the elements, uncorrected	-7.31	eV/f.u.

Geometry as CIF:
```
data_Rb2VHgI6
_symmetry_space_group_name_H-M 'I 4/m m m'
_symmetry_Int_Tables_number 139
_symmetry_space_group_name_Hall '-I 4 2'
_cell_length_a 8.405
_cell_length_b 8.405
_cell_length_c 11.927
_cell_angle_alpha 90.00
_cell_angle_beta 90.00
_cell_angle_gamma 90.00
loop_
_atom_site_label
_atom_site_fract_x
_atom_site_fract_y
_atom_site_fract_z
Rb1 0.000 0.500 0.250
V1 0.000 0.000 0.000
Hg1 0.000 0.000 0.500
I1 0.000 0.000 0.235
I2 0.236 0.236 0.000
```